# 1
Computed, not measured: a geometry-optimized LaMn2Tl structure at the PBE level of DFT.

```
LaMn2Tl
1.0
3.477 0.000 0.000
0.000 3.477 0.000
0.000 0.000 7.411
La Mn Tl
1 2 1
direct
0.500 0.500 0.750 La
0.000 0.000 0.033 Mn
0.000 0.000 0.467 Mn
0.500 0.500 0.250 Tl
```

Calculated values
The calculation puts the total magnetic moment at 7.121 μB per formula unit. For the offset from the most stable computed form, the calculation gives 0.199 eV per atom. Its space group is P4/mmm, No. 123. For the density of states at the Fermi level, the calculation gives 0.87 states/eV per atom.



# 2
Computed, not measured: a geometry-optimized LaMnTl3 structure at the PBE level of DFT.

```
LaMnTl3
1.0
-1.567 -5.354 -2.484
-1.630 -2.077 5.506
-5.672 2.076 -0.897
Tl Mn La
3 1 1
direct
0.000 0.500 0.000 Tl
0.000 0.000 0.500 Tl
0.500 0.000 0.000 Tl
0.500 0.500 0.500 Mn
0.000 0.000 0.000 La
```

Calculated values
The calculation puts the total magnetic moment at 4.588 μB per formula unit. For the offset from the most stable computed form, the calculation gives 0.963 eV per atom. Its space group is Pm-3m, No. 221. For the density of states at the Fermi level, the calculation gives 1.25 states/eV per atom.



# 3
Computed, not measured: a geometry-optimized La2MnTl structure at the PBE level of DFT.

```
La2MnTl
1.0
8.420 0.000 0.000
0.000 8.420 0.000
4.210 4.210 3.188
Tl Mn La
2 2 4
direct
0.000 0.000 0.000 Tl
0.750 0.250 0.500 Tl
0.500 0.500 0.000 Mn
0.250 0.750 0.500 Mn
0.573 0.125 0.250 La
0.177 0.625 0.250 La
0.375 0.427 0.750 La
0.875 0.823 0.750 La
```

Calculated values
The calculation puts the total magnetic moment at 2.531 μB per formula unit. Its space group is I-42d, No. 122. For the density of states at the Fermi level, the calculation gives 1.50 states/eV per atom.



# 4
Computed, not measured: a geometry-optimized LaMn2Tl structure at the PBE level of DFT.

```
LaMn2Tl
1.0
4.082 0.000 0.000
0.000 4.111 0.000
0.000 2.057 5.152
La Mn Tl
1 2 1
direct
0.500 0.771 0.832 La
0.000 0.195 0.984 Mn
0.500 0.050 0.276 Mn
0.000 0.484 0.408 Tl
```

Calculated values
The calculation puts the total magnetic moment at 5.646 μB per formula unit. For the offset from the most stable computed form, the calculation gives 0.145 eV per atom. Its space group is Amm2, No. 38. For the density of states at the Fermi level, the calculation gives 0.98 states/eV per atom.



# 5
Computed, not measured: a geometry-optimized La2MnTl structure at the PBE level of DFT.

```
La2MnTl
1.0
-3.396 2.107 0.492
-3.233 -0.010 -2.401
-4.912 -6.540 4.510
La Mn Tl
2 1 1
direct
0.001 0.001 0.964 La
0.499 0.499 0.536 La
0.750 0.750 0.750 Mn
0.250 0.250 0.250 Tl
```

Calculated values
The calculation puts the total magnetic moment at 2.601 μB per formula unit. Its space group is C2/m, No. 12. For the density of states at the Fermi level, the calculation gives 1.13 states/eV per atom.



# 6
Computed, not measured: a geometry-optimized LaMn2Tl structure at the PBE level of DFT.

```
LaMn2Tl
1.0
-4.416 1.800 -1.809
-0.644 0.597 -5.025
-3.159 -3.087 -2.551
La Mn Tl
1 2 1
direct
0.500 0.500 0.500 La
0.000 0.000 0.000 Mn
0.750 0.750 0.750 Mn
0.250 0.250 0.250 Tl
```

Calculated values
The calculation puts the total magnetic moment at 8.169 μB per formula unit. For the offset from the most stable computed form, the calculation gives 0.170 eV per atom. Its space group is F-43m, No. 216. For the density of states at the Fermi level, the calculation gives 1.17 states/eV per atom.



# 7
Computed, not measured: a geometry-optimized LaMn2Tl structure at the PBE level of DFT.

```
LaMn2Tl
1.0
-2.302 4.416 -2.393
-3.181 0.909 -4.424
-5.674 1.647 -0.384
La Mn Tl
1 2 1
direct
0.250 0.250 0.250 La
0.042 0.042 0.132 Mn
0.458 0.458 0.368 Mn
0.750 0.750 0.750 Tl
```

Calculated values
The calculation puts the total magnetic moment at 0.000 μB per formula unit. For the offset from the most stable computed form, the calculation gives 0.191 eV per atom. Its space group is C2/m, No. 12. For the density of states at the Fermi level, the calculation gives 0.89 states/eV per atom.



# 8
Computed, not measured: a geometry-optimized La2MnTl structure at the PBE level of DFT.

```
La2MnTl
1.0
3.784 0.000 0.000
0.000 3.783 0.000
0.000 0.000 8.101
La Mn Tl
2 1 1
direct
0.000 0.000 0.022 La
0.000 0.000 0.478 La
0.500 0.500 0.250 Mn
0.500 0.500 0.750 Tl
```

Calculated values
The calculation puts the total magnetic moment at 3.085 μB per formula unit. Its space group is P4/mmm, No. 123. For the density of states at the Fermi level, the calculation gives 1.04 states/eV per atom.



# 9
Computed, not measured: a geometry-optimized LaMnTl3 structure at the PBE level of DFT.

```
LaMnTl3
1.0
5.156 0.000 0.000
0.000 5.156 0.000
0.000 0.000 5.156
Tl Mn La
3 1 1
direct
0.000 0.500 0.000 Tl
0.000 0.000 0.500 Tl
0.500 0.000 0.000 Tl
0.000 0.000 0.000 Mn
0.500 0.500 0.500 La
```

Calculated values
The calculation puts the total magnetic moment at 2.414 μB per formula unit. For the offset from the most stable computed form, the calculation gives 0.000 eV per atom. Its space group is Pm-3m, No. 221. For the density of states at the Fermi level, the calculation gives 0.74 states/eV per atom.



# 10
Computed, not measured: a geometry-optimized LaMn2Tl structure at the PBE level of DFT.

```
LaMn2Tl
1.0
-0.219 -3.093 -1.192
2.731 -0.845 1.692
-4.426 -2.047 6.124
La Mn Tl
1 2 1
direct
0.500 0.500 0.780 La
0.000 0.000 0.067 Mn
0.500 0.500 0.204 Mn
0.000 0.000 0.448 Tl
```

Calculated values
The calculation puts the total magnetic moment at 0.796 μB per formula unit. For the offset from the most stable computed form, the calculation gives 0.000 eV per atom. Its space group is P4mm, No. 99. For the density of states at the Fermi level, the calculation gives 1.07 states/eV per atom.



# 11
Computed, not measured: a geometry-optimized LaMn2Tl structure at the PBE level of DFT.

```
LaMn2Tl
1.0
4.779 0.000 0.000
0.000 3.501 0.006
0.000 0.005 5.837
La Mn Tl
1 2 1
direct
0.500 0.750 0.750 La
0.000 0.248 0.988 Mn
0.000 0.252 0.512 Mn
0.500 0.250 0.250 Tl
```

Calculated values
The calculation puts the total magnetic moment at 7.292 μB per formula unit. For the offset from the most stable computed form, the calculation gives 0.224 eV per atom. Its space group is P2/m, No. 10. For the density of states at the Fermi level, the calculation gives 1.23 states/eV per atom.



# 12
Computed, not measured: a geometry-optimized La2MnTl structure at the PBE level of DFT.

```
La2MnTl
1.0
-0.945 -5.643 -3.196
2.675 -4.811 -3.555
1.272 -4.321 2.823
La Mn Tl
2 1 1
direct
0.987 0.987 0.013 La
0.781 0.781 0.719 La
0.522 0.522 0.477 Mn
0.210 0.210 0.290 Tl
```

Calculated values
The calculation puts the total magnetic moment at 3.301 μB per formula unit. Its space group is Cm, No. 8. For the density of states at the Fermi level, the calculation gives 0.98 states/eV per atom.



# 13
Computed, not measured: a geometry-optimized La2MnTl structure at the PBE level of DFT.

```
La2MnTl
1.0
5.280 0.000 0.000
2.640 4.573 0.000
2.640 1.524 4.311
La Mn Tl
2 1 1
direct
0.000 0.000 0.000 La
0.250 0.250 0.250 La
0.500 0.500 0.500 Mn
0.750 0.750 0.750 Tl
```

Calculated values
The calculation puts the total magnetic moment at 1.993 μB per formula unit. Its space group is F-43m, No. 216. For the density of states at the Fermi level, the calculation gives 0.70 states/eV per atom.



# 14
Computed, not measured: a geometry-optimized La2MnTl structure at the PBE level of DFT.

```
La2MnTl
1.0
-3.447 -0.414 -0.742
0.790 -0.427 -3.435
0.789 -8.882 1.287
La Mn Tl
2 1 1
direct
0.000 0.000 0.965 La
0.500 0.500 0.305 La
0.000 0.000 0.528 Mn
0.500 0.500 0.702 Tl
```

Calculated values
The calculation puts the total magnetic moment at 3.527 μB per formula unit. Its space group is P4mm, No. 99. For the density of states at the Fermi level, the calculation gives 1.21 states/eV per atom.



# 15
Computed, not measured: a geometry-optimized LaMn2Tl structure at the PBE level of DFT.

```
LaMn2Tl
1.0
-5.945 3.911 3.643
-4.431 -0.559 -6.630
-6.369 -1.070 -0.473
Tl Mn La
2 4 2
direct
0.000 0.000 0.000 Tl
0.750 0.250 0.500 Tl
0.655 0.125 0.250 Mn
0.095 0.625 0.250 Mn
0.375 0.345 0.750 Mn
0.875 0.905 0.750 Mn
0.500 0.500 0.000 La
0.250 0.750 0.500 La
```

Calculated values
The calculation puts the total magnetic moment at 7.297 μB per formula unit. For the offset from the most stable computed form, the calculation gives 0.424 eV per atom. Its space group is I-42d, No. 122. For the density of states at the Fermi level, the calculation gives 1.28 states/eV per atom.



| no. | formation energy from the elements (eV/atom) |
| --- | --- |
| 1 | 0.3722 |
| 2 | 1.0429 |
| 3 | 0.2528 |
| 4 | 0.3184 |
| 5 | 0.1280 |
| 6 | 0.3432 |
| 7 | 0.3638 |
| 8 | -0.0345 |
| 9 | 0.0798 |
| 10 | 0.1730 |
| 11 | 0.3974 |
| 12 | -0.0056 |
| 13 | 0.1116 |
| 14 | 0.1093 |
| 15 | 0.5969 |